1.
Here is a relaxed structure of Tm12Cd6Ni from Alexandria via LeMat-Bulk. Energies are from PBE.

Geometry as CIF:
```
data_Tm12Cd6Ni
_cell_length_a 11.8755
_cell_length_b 11.8755
_cell_length_c 12.9868
_cell_angle_alpha 90.00
_cell_angle_beta 90.00
_cell_angle_gamma 120.00
_symmetry_space_group_name_H-M 'R -3'
_symmetry_Int_Tables_number 148
_symmetry_space_group_name_Hall '-R 3'
loop_
_atom_site_label
_atom_site_fract_x
_atom_site_fract_y
_atom_site_fract_z
Tm1 0.0315 0.8486 0.3700
Tm2 0.0379 0.1872 0.8918
Cd1 0.0007 0.3961 0.7604
Ni1 0.0000 0.0000 0.5000
```

Values from the calculation:
- Total energy: -3.50 eV/atom
- ΔE_f: -0.083 eV per atom
- D(E_F): 57.5 states/eV per cell
- Magnetization: 0.0 μB/f.u.


2.
Here is a relaxed structure of Th2SeN from Alexandria via LeMat-Bulk. Energies are from PBE.

Geometry as CIF:
```
data_Th2SeN
_cell_length_a 3.7982
_cell_length_b 3.7982
_cell_length_c 20.6986
_cell_angle_alpha 90.00
_cell_angle_beta 90.00
_cell_angle_gamma 120.00
_symmetry_space_group_name_H-M 'R -3 m'
_symmetry_Int_Tables_number 166
_symmetry_space_group_name_Hall '-R 3 2"'
loop_
_atom_site_label
_atom_site_fract_x
_atom_site_fract_y
_atom_site_fract_z
Th1 0.0000 0.0000 0.2338
Se1 0.0000 0.0000 0.0000
N1 0.0000 0.0000 0.5000
```

Values from the calculation:
- Total energy: -8.20 eV/atom
- Raw formation energy: -1.54 eV per atom
- D(E_F): 8.4 states/eV per cell
- Magnetization: 0.0 μB/f.u.
- E above lowest polymorph: 0 meV per atom


3.
Here is a relaxed structure of RbBa2GeSe4 from Alexandria via LeMat-Bulk. Energies are from PBE.

Geometry as CIF:
```
data_RbBa2GeSe4
_cell_length_a 8.8947
_cell_length_b 9.0222
_cell_length_c 9.0269
_cell_angle_alpha 61.33
_cell_angle_beta 75.08
_cell_angle_gamma 75.16
_symmetry_space_group_name_H-M 'P 1'
_symmetry_Int_Tables_number 1
_symmetry_space_group_name_Hall 'P 1'
loop_
_atom_site_label
_atom_site_fract_x
_atom_site_fract_y
_atom_site_fract_z
Rb1 0.0000 0.0000 0.0000
Rb2 0.0005 0.4899 0.5069
Ba1 0.4418 0.5847 0.0927
Ba2 0.4951 0.0757 0.1021
Ba3 0.4950 0.5969 0.5833
Ba4 0.9380 0.5119 0.0175
Ge1 0.0888 0.9687 0.4755
Ge2 0.5723 0.0854 0.5915
Se1 0.1960 0.2650 0.2708
Se2 0.1957 0.7667 0.7714
Se3 0.2403 0.7999 0.3082
Se4 0.3685 0.2219 0.7273
Se5 0.6667 0.2181 0.3020
Se6 0.6668 0.7962 0.7257
Se7 0.7207 0.7100 0.2176
Se8 0.7238 0.3715 0.8782
```

Values from the calculation:
- Total energy: -4.16 eV/atom
- Raw formation energy: -1.24 eV per atom
- Magnetization: 0.0 μB/f.u.


4.
Here is a relaxed structure of VNiB from Alexandria via LeMat-Bulk. Energies are from PBE.

Geometry as CIF:
```
data_VNiB
_cell_length_a 2.5117
_cell_length_b 2.5117
_cell_length_c 9.2012
_cell_angle_alpha 90.00
_cell_angle_beta 90.00
_cell_angle_gamma 90.00
_symmetry_space_group_name_H-M 'I 4 m m'
_symmetry_Int_Tables_number 107
_symmetry_space_group_name_Hall 'I 4 -2'
loop_
_atom_site_label
_atom_site_fract_x
_atom_site_fract_y
_atom_site_fract_z
V1 0.0000 0.0000 0.0000
Ni1 0.0000 0.0000 0.2844
B1 0.0000 0.0000 0.6623
```

Values from the calculation:
- Total energy: -7.45 eV/atom
- ΔE_f: -0.258 eV per atom
- D(E_F): 2.5 states/eV per cell
- Magnetization: 0.0 μB/f.u.